# 1
Here is a relaxed CaCdTe2 crystal from Alexandria via LeMat-Bulk. Energies are from PBE.

Output
As for the crystal system: monoclinic. The value obtained for the formation energy without anion corrections is -21.22 kcal/mol of atoms. The final energy comes out at -3.220 eV/atom. The total magnetization is 0.00 μB/atom.

Lattice parameters (Å, degrees): 7.6956 4.4443 7.6546 90.00 109.50 90.00
Space group C2/m (No. 12)
Inequivalent atoms, fractional coordinates:
Ca 0.0000 0.0000 0.0000
Cd 0.0000 0.5000 0.5000
Te 0.2457 0.0000 0.7359


# 2
Here is a relaxed CaCdTe crystal from Alexandria via LeMat-Bulk. Energies are from PBE.

Output
As for the crystal system: trigonal. The value obtained for the formation energy without anion corrections is -18.24 kcal/mol of atoms. For the energy above the most stable polymorph in this dataset, the calculation gives 0 meV per atom. The final energy comes out at -2.811 eV/atom. The total magnetization is 0.00 μB/atom.

Lattice parameters (Å, degrees): 5.2408 5.2408 29.5462 90.00 90.00 120.00
Space group R-3m (No. 166, hexagonal axes)
Inequivalent atoms, fractional coordinates:
Ca 0.0000 0.0000 0.1128
Cd 0.0000 0.0000 0.3300
Te 0.0000 0.0000 0.2202


# 3
Here is a relaxed CaCd2Te crystal from Alexandria via LeMat-Bulk. Energies are from PBE.

Output
As for the crystal system: trigonal. The value obtained for the formation energy without anion corrections is -6.90 kcal/mol of atoms. The final energy comes out at -2.042 eV/atom. The total magnetization is 0.00 μB/atom.

Lattice parameters (Å, degrees): 4.4655 4.4655 22.1094 90.00 90.00 120.00
Space group R-3m (No. 166, hexagonal axes)
Inequivalent atoms, fractional coordinates:
Ca 0.0000 0.0000 0.0000
Cd 0.0000 0.0000 0.2417
Te 0.0000 0.0000 0.5000